! SrTlPb2 (meta-GGA SCAN, PBEsol geometry); values from VASP
! **E**: -247.94 eV/f.u.
! **Size of the total moment**: 0.00 Bohr magnetons per cell
! **DFT formation energy**: -0.4365 eV per atom
! **SG**: I4/mmm (139)
&SYSTEM
  ibrav = 0, nat = 8, ntyp = 3
/
ATOMIC_SPECIES
Sr 87.62 Sr.upf
Tl 204.38 Tl.upf
Pb 207.20 Pb.upf
ATOMIC_POSITIONS crystal
Sr 0.0000 0.0000 0.0000
Sr 0.5000 0.5000 0.5000
Tl 0.0000 0.0000 0.5000
Tl 0.5000 0.5000 0.0000
Pb 0.0000 0.5000 0.2500
Pb 0.0000 0.5000 0.7500
Pb 0.5000 0.0000 0.2500
Pb 0.5000 0.0000 0.7500
CELL_PARAMETERS angstrom
4.8225 0.0000 0.0000
0.0000 4.8225 0.0000
0.0000 0.0000 10.2651

=====

! SrPbW2 (meta-GGA SCAN, PBEsol geometry); values from VASP
! **E**: -231.94 eV/f.u.
! **Size of the total moment**: 0.00 Bohr magnetons per cell
! **DFT formation energy**: 1.3728 eV per atom
! **SG**: Immm (71)
&SYSTEM
  ibrav = 0, nat = 8, ntyp = 3
/
ATOMIC_SPECIES
Sr 87.62 Sr.upf
Pb 207.20 Pb.upf
W 183.84 W.upf
ATOMIC_POSITIONS crystal
Sr 0.0000 0.0000 0.0000
Sr 0.5000 0.5000 0.5000
Pb 0.0000 0.0000 0.5000
Pb 0.5000 0.5000 0.0000
W 0.0000 0.5000 0.2387
W 0.0000 0.5000 0.7613
W 0.5000 0.0000 0.2613
W 0.5000 0.0000 0.7387
CELL_PARAMETERS angstrom
3.4825 0.0000 0.0000
0.0000 4.8082 0.0000
0.0000 0.0000 10.0839

=====

! SrPbW (meta-GGA SCAN, PBEsol geometry); values from VASP
! **E**: -164.80 eV/f.u.
! **Size of the total moment**: 1.57 Bohr magnetons per cell
! **DFT formation energy**: 0.9808 eV per atom
! **SG**: P-6m2 (187)
&SYSTEM
  ibrav = 0, nat = 3, ntyp = 3
/
ATOMIC_SPECIES
Sr 87.62 Sr.upf
Pb 207.20 Pb.upf
W 183.84 W.upf
ATOMIC_POSITIONS crystal
Sr 0.0000 0.0000 0.0000
Pb 0.6667 0.3333 0.5000
W 0.3333 0.6667 0.5000
CELL_PARAMETERS angstrom
5.2091 0.0000 0.0000
-2.6045 4.5112 0.0000
0.0000 0.0000 3.0587

=====

! SrYPb2 (meta-GGA SCAN, PBEsol geometry); values from VASP
! **E**: -204.62 eV/f.u.
! **Size of the total moment**: 0.00 Bohr magnetons per cell
! **DFT formation energy**: -0.7338 eV per atom
! **SG**: Pmmm (47)
&SYSTEM
  ibrav = 0, nat = 4, ntyp = 3
/
ATOMIC_SPECIES
Sr 87.62 Sr.upf
Y 88.91 Y.upf
Pb 207.20 Pb.upf
ATOMIC_POSITIONS crystal
Sr 0.0000 0.0000 0.0000
Y 0.0000 0.0000 0.5000
Pb 0.5000 0.5000 0.2751
Pb 0.5000 0.5000 0.7249
CELL_PARAMETERS angstrom
3.6143 0.0000 0.0000
0.0000 4.4217 0.0000
0.0000 0.0000 7.4283

=====

! SrYPb2 (meta-GGA SCAN, PBEsol geometry); values from VASP
! **E**: -204.59 eV/f.u.
! **Size of the total moment**: 0.00 Bohr magnetons per cell
! **DFT formation energy**: -0.7262 eV per atom
! **SG**: P4/mmm (123)
&SYSTEM
  ibrav = 0, nat = 4, ntyp = 3
/
ATOMIC_SPECIES
Sr 87.62 Sr.upf
Y 88.91 Y.upf
Pb 207.20 Pb.upf
ATOMIC_POSITIONS crystal
Sr 0.0000 0.0000 0.0000
Y 0.0000 0.0000 0.5000
Pb 0.5000 0.5000 0.2653
Pb 0.5000 0.5000 0.7347
CELL_PARAMETERS angstrom
3.6194 0.0000 0.0000
0.0000 3.6194 0.0000
0.0000 0.0000 8.9841

=====

! SrY4Pb (meta-GGA SCAN, PBEsol geometry); values from VASP
! **E**: -208.38 eV/f.u.
! **Size of the total moment**: 0.00 Bohr magnetons per cell
! **DFT formation energy**: 0.1748 eV per atom
! **SG**: F-43m (216)
&SYSTEM
  ibrav = 0, nat = 6, ntyp = 3
/
ATOMIC_SPECIES
Sr 87.62 Sr.upf
Y 88.91 Y.upf
Pb 207.20 Pb.upf
ATOMIC_POSITIONS crystal
Sr 0.0000 0.0000 0.0000
Y 0.3756 0.3756 0.3756
Y 0.3756 0.3756 0.8731
Y 0.3756 0.8731 0.3756
Y 0.8731 0.3756 0.3756
Pb 0.7500 0.7500 0.7500
CELL_PARAMETERS angstrom
0.0000 4.6229 4.6229
4.6229 0.0000 4.6229
4.6229 4.6229 0.0000